Density functional theory data (GGA-PBE) for a relaxed LaCdTeF2 crystal.

Cell: 4.625 4.625 6.568 Å, 90.00 90.00 90.00°
Space group P4/mmm (No. 123)
Asymmetric unit:
La: 0.000 0.000 0.000 [1 per cell]
Cd: 0.500 0.500 0.500 [1 per cell]
Te: 0.000 0.000 0.500 [1 per cell]
F: 0.000 0.500 0.000 [2 per cell]

Results
DOS(E_F) ... 0.159 states/eV per atom
Final energy ... -4.932 eV/atom
ρ ... 4.9 g/cm3
M_tot ... 0.0 Bohr magnetons per cell
Calculated volume ... 28.10 A^3/atom
Formation energy without anion corrections ... -2.387 eV per atom